(1)
Ba2HfVS6 | GGA-PBE | optimized geometry

a b c (Å): 6.9007 9.7615 6.9006
angles (deg): 90.00 90.00 90.00
With the nearest neighbours (Å) after each atom.
Element x y z (fractional)
Ba (0.2500, 0.9999, 0.2500)  12 S 3.45
Ba (0.2500, 0.5001, 0.2500)  12 S 3.45
Ba (0.7500, 0.0001, 0.7500)  12 S 3.45
Ba (0.7500, 0.4999, 0.7500)  12 S 3.45
Hf (0.2500, 0.2500, 0.7495)  6 S 2.50
Hf (0.7500, 0.7500, 0.2505)  6 S 2.50
V (0.2500, 0.7500, 0.7507)  6 S 2.38
V (0.7500, 0.2500, 0.2493)  6 S 2.38
S (0.0062, 0.7500, 0.5068)  1 V 2.38, 1 Hf 2.50
S (0.0064, 0.7500, 0.9941)  1 V 2.38, 1 Hf 2.50
S (0.2500, 0.5064, 0.7500)  1 V 2.38, 1 Hf 2.50
S (0.2500, 0.9936, 0.7500)  1 V 2.38, 1 Hf 2.50
S (0.4938, 0.7500, 0.5068)  1 V 2.38, 1 Hf 2.50
S (0.4936, 0.7500, 0.9941)  1 V 2.38, 1 Hf 2.50
S (0.5064, 0.2500, 0.0059)  1 V 2.38, 1 Hf 2.50
S (0.5062, 0.2500, 0.4932)  1 V 2.38, 1 Hf 2.50
S (0.7500, 0.0064, 0.2500)  1 V 2.38, 1 Hf 2.50
S (0.7500, 0.4936, 0.2500)  1 V 2.38, 1 Hf 2.50
S (0.9936, 0.2500, 0.0059)  1 V 2.38, 1 Hf 2.50
S (0.9938, 0.2500, 0.4932)  1 V 2.38, 1 Hf 2.50

formation energy without anion corrections = -147.4 kJ per mole of atoms

---

(2)
Ba2HfZnS5 | GGA-PBE | optimized geometry

a b c (Å): 9.3241 9.3241 12.7165
angles (deg): 90.00 90.00 155.39
With the nearest neighbours (Å) after each atom.
Element x y z (fractional)
Ba (0.1144, 0.8856, 0.5000)  7 S 3.10-3.46
Ba (0.1257, 0.8743, 0.1211)  7 S 3.09-3.37
Ba (0.8743, 0.1257, 0.6211)  7 S 3.09-3.37
Ba (0.8856, 0.1144, 0.0000)  7 S 3.10-3.46
Hf (0.2097, 0.7903, 0.8264)  6 S 2.47-2.65
Hf (0.7903, 0.2097, 0.3264)  6 S 2.47-2.65
Zn (0.4388, 0.5612, 0.2559)  3 S 2.28-2.36
Zn (0.5612, 0.4388, 0.7559)  3 S 2.28-2.36
S (0.0670, 0.9330, 0.8557)  2 Zn 2.36, 1 Hf 2.63
S (0.2875, 0.7125, 0.4584)  2 Hf 2.60
S (0.3042, 0.6958, 0.1902)  1 Zn 2.59, 2 Hf 2.65
S (0.3449, 0.6551, 0.8141)  1 Hf 2.47
S (0.4970, 0.5030, 0.0976)  1 Zn 2.28
S (0.5030, 0.4970, 0.5976)  1 Zn 2.28
S (0.6551, 0.3449, 0.3141)  1 Hf 2.47
S (0.6958, 0.3042, 0.6902)  1 Zn 2.59, 2 Hf 2.65
S (0.7125, 0.2875, 0.9584)  2 Hf 2.60
S (0.9330, 0.0670, 0.3557)  2 Zn 2.36, 1 Hf 2.63

formation energy without anion corrections = -158.3 kJ per mole of atoms

---

(3)
Ba2HfZrS6 | GGA-PBE | optimized geometry

a b c (Å): 7.1211 10.0687 7.1204
angles (deg): 90.00 90.00 90.00
With the nearest neighbours (Å) after each atom.
Element x y z (fractional)
Ba (0.2500, 0.9999, 0.2505)  12 S 3.56
Ba (0.2500, 0.5001, 0.2505)  12 S 3.56
Ba (0.7500, 0.0001, 0.7495)  12 S 3.56
Ba (0.7500, 0.4999, 0.7495)  12 S 3.56
Hf (0.2500, 0.2500, 0.7504)  6 S 2.50
Hf (0.7500, 0.7500, 0.2496)  6 S 2.50
Zr (0.2500, 0.7500, 0.7498)  6 S 2.53
Zr (0.7500, 0.2500, 0.2502)  6 S 2.53
S (0.0012, 0.2500, 0.5018)  1 Hf 2.50, 1 Zr 2.53
S (0.0015, 0.2500, 0.9992)  1 Hf 2.50, 1 Zr 2.53
S (0.2500, 0.0013, 0.7500)  1 Hf 2.50, 1 Zr 2.53
S (0.2500, 0.4987, 0.7500)  1 Hf 2.50, 1 Zr 2.53
S (0.4985, 0.2500, 0.9992)  1 Hf 2.50, 1 Zr 2.53
S (0.4988, 0.2500, 0.5018)  1 Hf 2.50, 1 Zr 2.53
S (0.5012, 0.7500, 0.4982)  1 Hf 2.50, 1 Zr 2.53
S (0.5015, 0.7500, 0.0008)  1 Hf 2.50, 1 Zr 2.53
S (0.7500, 0.5013, 0.2500)  1 Hf 2.50, 1 Zr 2.53
S (0.7500, 0.9987, 0.2500)  1 Hf 2.50, 1 Zr 2.53
S (0.9985, 0.7500, 0.0008)  1 Hf 2.50, 1 Zr 2.53
S (0.9988, 0.7500, 0.4982)  1 Hf 2.50, 1 Zr 2.53

formation energy without anion corrections = -173.2 kJ per mole of atoms

---

(4)
BaHf3Sb | GGA-PBE | optimized geometry

a b c (Å): 5.3072 5.3072 5.3072
angles (deg): 90.00 90.00 90.00
With the nearest neighbours (Å) after each atom.
Element x y z (fractional)
Ba (0.0000, 0.0000, 0.0000)  6 Hf 2.65
Hf (0.0000, 0.0000, 0.5000)  2 Ba 2.65
Hf (0.0000, 0.5000, 0.0000)  2 Ba 2.65
Hf (0.5000, 0.0000, 0.0000)  2 Ba 2.65
Sb (0.5000, 0.5000, 0.5000)  12 Hf 3.75

relative energy among the computed polymorphs = 1199 meV/atom
formation energy without anion corrections = 188.8 kJ per mole of atoms

---

(5)
BaHfSb | GGA-PBE | optimized geometry

a b c (Å): 4.4620 4.4620 10.4495
angles (deg): 90.00 90.00 90.00
With the nearest neighbours (Å) after each atom.
Element x y z (fractional)
Ba (0.2500, 0.2500, 0.1762)  4 Sb 3.45
Ba (0.7500, 0.7500, 0.8238)  4 Sb 3.45
Hf (0.2500, 0.7500, 0.5000)  4 Sb 2.99, 4 Hf 3.16
Hf (0.7500, 0.2500, 0.5000)  4 Sb 2.99, 4 Hf 3.16
Sb (0.2500, 0.2500, 0.6902)  4 Hf 2.99
Sb (0.7500, 0.7500, 0.3098)  4 Hf 2.99

formation energy without anion corrections = -55.2 kJ per mole of atoms

---

(6)
BaHf3Sb | GGA-PBE | optimized geometry

a b c (Å): 5.4370 5.4370 5.4370
angles (deg): 90.00 90.00 90.00
With the nearest neighbours (Å) after each atom.
Element x y z (fractional)
Ba (0.0000, 0.0000, 0.0000)  12 Hf 3.84
Hf (0.0000, 0.5000, 0.5000)  2 Sb 2.72
Hf (0.5000, 0.0000, 0.5000)  2 Sb 2.72
Hf (0.5000, 0.5000, 0.0000)  2 Sb 2.72
Sb (0.5000, 0.5000, 0.5000)  6 Hf 2.72

relative energy among the computed polymorphs = 0 meV/atom
formation energy without anion corrections = 73.1 kJ per mole of atoms

---

(7)
Ba2SrHfSb | GGA-PBE | optimized geometry

a b c (Å): 6.6023 6.6023 6.2136
angles (deg): 90.00 90.00 90.00
With the nearest neighbours (Å) after each atom.
Element x y z (fractional)
Ba (0.0000, 0.5000, 0.0000)  2 Sb 3.30
Ba (0.5000, 0.0000, 0.0000)  2 Sb 3.30
Sr (0.0000, 0.0000, 0.5000)  2 Sb 3.11
Hf (0.5000, 0.5000, 0.5000)  8 Ba 4.53, 4 Sr 4.67
Sb (0.0000, 0.0000, 0.0000)  2 Sr 3.11, 4 Ba 3.30

formation energy without anion corrections = 42.6 kJ per mole of atoms

---

(8)
BaHfTa2Sb | GGA-PBE | optimized geometry

a b c (Å): 5.1216 5.1216 5.2668
angles (deg): 90.00 90.00 90.00
With the nearest neighbours (Å) after each atom.
Element x y z (fractional)
Ba (0.0000, 0.0000, 0.0000)  4 Ta 2.56, 2 Hf 2.63
Hf (0.0000, 0.0000, 0.5000)  2 Ba 2.63
Ta (0.0000, 0.5000, 0.0000)  2 Ba 2.56
Ta (0.5000, 0.0000, 0.0000)  2 Ba 2.56
Sb (0.5000, 0.5000, 0.5000)  4 Hf 3.62, 8 Ta 3.67

formation energy without anion corrections = 242.0 kJ per mole of atoms

---

(9)
BaHfSb2Te | GGA-PBE | optimized geometry

a b c (Å): 5.5827 5.5827 5.6705
angles (deg): 90.00 90.00 90.00
With the nearest neighbours (Å) after each atom.
Element x y z (fractional)
Ba (0.0000, 0.0000, 0.0000)  4 Te 3.95, 8 Sb 3.98
Hf (0.5000, 0.5000, 0.5000)  4 Sb 2.79, 2 Te 2.84
Sb (0.0000, 0.5000, 0.5000)  2 Hf 2.79
Sb (0.5000, 0.0000, 0.5000)  2 Hf 2.79
Te (0.5000, 0.5000, 0.0000)  2 Hf 2.84

relative energy among the computed polymorphs = 0 meV/atom
formation energy without anion corrections = -57.4 kJ per mole of atoms

---

(10)
BaHfSb2Te | GGA-PBE | optimized geometry

a b c (Å): 5.9570 5.9570 6.1406
angles (deg): 90.00 90.00 90.00
With the nearest neighbours (Å) after each atom.
Element x y z (fractional)
Ba (0.0000, 0.0000, 0.0000)  4 Sb 2.98, 2 Te 3.07
Hf (0.5000, 0.5000, 0.5000)  4 Te 4.21, 8 Sb 4.28
Sb (0.0000, 0.5000, 0.0000)  2 Ba 2.98
Sb (0.5000, 0.0000, 0.0000)  2 Ba 2.98
Te (0.0000, 0.0000, 0.5000)  2 Ba 3.07

relative energy among the computed polymorphs = 1898 meV/atom
formation energy without anion corrections = 125.8 kJ per mole of atoms

---

(11)
BaHfTi2Sb | GGA-PBE | optimized geometry

a b c (Å): 4.9275 4.9275 5.4476
angles (deg): 90.00 90.00 90.00
With the nearest neighbours (Å) after each atom.
Element x y z (fractional)
Ba (0.0000, 0.0000, 0.0000)  4 Ti 2.46, 2 Hf 2.72
Hf (0.0000, 0.0000, 0.5000)  2 Ba 2.72
Ti (0.0000, 0.5000, 0.0000)  2 Ba 2.46
Ti (0.5000, 0.0000, 0.0000)  2 Ba 2.46
Sb (0.5000, 0.5000, 0.5000)  4 Hf 3.48, 8 Ti 3.67

formation energy without anion corrections = 165.8 kJ per mole of atoms

---

(12)
BaHfSc2 | GGA-PBE | optimized geometry

a b c (Å): 5.4310 5.4310 5.4310
angles (deg): 60.00 60.00 60.00
With the nearest neighbours (Å) after each atom.
Element x y z (fractional)
Ba (0.0000, 0.0000, 0.0000)  8 Sc 3.33
Hf (0.5000, 0.5000, 0.5000)  8 Sc 3.33
Sc (0.2500, 0.2500, 0.2500)  4 Ba 3.33, 4 Hf 3.33
Sc (0.7500, 0.7500, 0.7500)  4 Hf 3.33, 4 Ba 3.33

relative energy among the computed polymorphs = 0 meV/atom
energy of formation = 0.51 eV per atom